# 1
Ca2YCl after structural relaxation. Source: Alexandria via LeMat-Bulk, functional PBEsol.

Values from the calculation:
E: -3.955 eV/atom
space-group type: P4/mmm (123)

Lattice parameters (Å, degrees): 3.501 3.501 9.564 90.00 90.00 90.00
Element x y z (fractional)
Cl  0.500  0.500  0.000
Y  0.500  0.500  0.500
Ca  0.000  0.000  0.218
Ca  0.000  0.000  0.782



# 2
CaYCl2 after structural relaxation. Source: Alexandria via LeMat-Bulk, functional PBEsol.

Values from the calculation:
E: -4.655 eV/atom
space-group type: R-3m (166)

Lattice parameters (Å, degrees): 3.771 3.771 8.991 77.90 77.90 60.00
Element x y z (fractional)
Cl  0.895  0.895  0.316
Cl  0.105  0.105  0.684
Ca  0.500  0.500  0.500
Y  0.000  0.000  0.000



| no. | calculated volume (A^3/atom) |
| --- | --- |
| 1 | 29.31 |
| 2 | 26.85 |